Material: Ga2SO2
Method: DFT, GGA-PBE
State: optimized geometry

```
Ga2SO2
1.0
6.276 0.000 0.000
0.000 6.276 0.000
-3.138 -3.138 4.417
Ga S O
4 2 4
Cartesian
0.000 1.402 3.844
1.736 0.000 1.635
4.540 0.000 1.635
0.000 -1.402 3.844
0.000 0.000 0.229
0.000 3.138 2.437
3.138 4.974 1.257
1.302 0.000 3.465
-1.302 0.000 3.465
3.138 1.302 1.257
```

Total magnetization ... 0.0 μB per formula unit
Crystal system ... tetragonal
Energy relative to the elements, uncorrected ... -1.334 eV/atom
Space-group type ... I4_1md (109)

---

Material: GaNi2Br
Method: DFT, GGA-PBE
State: optimized geometry

```
GaNi2Br
1.0
0.000 3.085 3.085
3.085 0.000 3.085
3.085 3.085 0.000
Ni Ga Br
2 1 1
Cartesian
1.542 1.542 1.542
4.627 4.627 4.627
0.000 0.000 0.000
3.085 3.085 3.085
```

Total magnetization ... 0.0 μB per formula unit
Crystal system ... cubic
Energy relative to the elements, uncorrected ... 0.334 eV/atom
Space-group type ... Fm-3m (225)
Excess energy over the best structure of this formula in the dataset ... 66 meV/atom

---

Material: TeRu2Pt
Method: DFT, GGA-PBE
State: optimized geometry

```
TeRu2Pt
1.0
-4.029 2.472 -1.015
-4.367 1.185 1.702
1.180 4.163 2.118
Pt Ru Te
1 2 1
Cartesian
-5.305 5.929 2.148
-8.346 3.700 0.713
-1.897 1.903 0.665
-3.673 3.854 1.368
```

Total magnetization ... 0.0 μB per formula unit
Crystal system ... monoclinic
Energy relative to the elements, uncorrected ... 0.300 eV/atom
Space-group type ... Cm (8)